(1)
# CdCl

CdCl at its PBEsol-relaxed geometry (SCAN, the Alexandria database).

```
2
Lattice="3.515 0.000 0.000 0.000 3.515 0.000 0.000 0.000 3.515" Properties=species:S:1:pos:R:3 pbc="T T T"
Cd 0.000 0.000 0.000
Cl 1.758 1.758 1.758
```

Results
Density, Mg/m³: 5.65
Spin magnetization, μB/cell: 0.2
Uncorrected formation energy, meV/atom: -354.9

=====

(2)
# Cd2CoCl

Cd2CoCl at its PBEsol-relaxed geometry (SCAN, the Alexandria database).

```
4
Lattice="2.856 -4.043 0.000 2.856 4.043 0.000 0.000 0.000 3.070" Properties=species:S:1:pos:R:3 pbc="T T T"
Cd 1.428 2.021 0.000
Cd 1.428 -2.021 0.000
Co 0.000 0.000 1.535
Cl 2.856 0.000 1.535
```

Results
Offset from the most stable computed form, meV/atom: 85
Density, Mg/m³: 7.48
Spin magnetization, μB/cell: 1.9
Uncorrected formation energy, meV/atom: -9.8

=====

(3)
# CdCo2Cl

CdCo2Cl at its PBEsol-relaxed geometry (SCAN, the Alexandria database).

```
4
Lattice="2.790 -3.700 0.000 2.790 3.700 0.000 0.000 0.000 2.857" Properties=species:S:1:pos:R:3 pbc="T T T"
Cd 0.000 0.000 0.000
Co 1.395 1.850 1.429
Co 1.395 -1.850 1.429
Cl 2.790 0.000 0.000
```

Results
Offset from the most stable computed form, meV/atom: 249
Density, Mg/m³: 7.48
Spin magnetization, μB/cell: 4.0
Uncorrected formation energy, meV/atom: 363.8

=====

(4)
# CdCo2Cl

CdCo2Cl at its PBEsol-relaxed geometry (SCAN, the Alexandria database).

```
4
Lattice="0.000 3.061 3.061 3.061 0.000 3.061 3.061 3.061 0.000" Properties=species:S:1:pos:R:3 pbc="T T T"
Cd 0.000 0.000 0.000
Co 1.531 1.531 1.531
Co 4.592 4.592 4.592
Cl 3.061 3.061 3.061
```

Results
Offset from the most stable computed form, meV/atom: 742
Density, Mg/m³: 7.69
Spin magnetization, μB/cell: 2.9
Uncorrected formation energy, meV/atom: 857.0

=====

Question: Among the records above, which one has the lowest spin magnetization?
Answer: CdCl